Material: LiCa3Ho2S6
Method: DFT, PBE
State: relaxed

Unit cell a=6.8265 b=6.8265 c=6.8522 alpha=99.56 beta=99.56 gamma=119.97
Atoms (fractional coordinates):
1 Li 0.0000 0.0000 0.0000
2 Ca 0.1651 0.8349 0.5000
3 Ca 0.5000 0.5000 0.5000
4 Ca 0.8349 0.1651 0.5000
5 Ho 0.3331 0.6669 0.0000
6 Ho 0.6669 0.3331 0.0000
7 S 0.0802 0.4150 0.2400
8 S 0.2550 0.2550 0.7610
9 S 0.4150 0.0802 0.2400
10 S 0.5850 0.9198 0.7600
11 S 0.7450 0.7450 0.2390
12 S 0.9198 0.5850 0.7600

Summary:
The calculation puts the spin magnetization at 0.0000 μB per atom. Its space-group type is No. 12. For the calculated density, the calculation gives 4133 kg/m³. The value obtained for the uncorrected formation energy is -2.0141 eV per atom. Its crystal system is monoclinic.